# Li6GeAu12 (PBE-GGA, optimized geometry)
# Calculated volume = 322.03 Å³/cell
# Total energy = -3.25 eV/atom
# Formation enthalpy at 0 K = -0.335 eV/atom
# Mass density = 12.78 g/cm3
# Symmetry = No. 148
data_Li6GeAu12
_chemical_formula_sum 'Li6 Ge1 Au12'
_space_group_name_H-M_alt 'P 1'
_space_group_IT_number 1
_space_group_name_Hall 'P 1'
_cell_length_a 6.856
_cell_length_b 6.856
_cell_length_c 6.856
_cell_angle_alpha 91.17
_cell_angle_beta 91.17
_cell_angle_gamma 91.17
loop_
_atom_site_label
_atom_site_type_symbol
_atom_site_fract_x
_atom_site_fract_y
_atom_site_fract_z
Li1 Li 0.884 0.719 0.275
Li2 Li 0.725 0.116 0.281
Li3 Li 0.281 0.725 0.116
Li4 Li 0.116 0.281 0.725
Li5 Li 0.275 0.884 0.719
Li6 Li 0.719 0.275 0.884
Ge1 Ge 0.000 0.000 0.000
Au1 Au 0.803 0.439 0.533
Au2 Au 0.533 0.803 0.439
Au3 Au 0.439 0.533 0.803
Au4 Au 0.197 0.561 0.467
Au5 Au 0.467 0.197 0.561
Au6 Au 0.561 0.467 0.197
Au7 Au 0.149 0.012 0.362
Au8 Au 0.988 0.638 0.851
Au9 Au 0.638 0.851 0.988
Au10 Au 0.851 0.988 0.638
Au11 Au 0.012 0.362 0.149
Au12 Au 0.362 0.149 0.012

---

# Li2GeAu9 (PBE-GGA, optimized geometry)
# Calculated volume = 209.58 Å³/cell
# Total energy = -3.36 eV/atom
# Formation enthalpy at 0 K = -0.201 eV/atom
# Mass density = 14.73 g/cm3
# Symmetry = No. 123
data_Li2GeAu9
_chemical_formula_sum 'Li2 Ge1 Au9'
_space_group_name_H-M_alt 'P 1'
_space_group_IT_number 1
_space_group_name_Hall 'P 1'
_cell_length_a 4.032
_cell_length_b 4.032
_cell_length_c 12.892
_cell_angle_alpha 90.00
_cell_angle_beta 90.00
_cell_angle_gamma 90.00
loop_
_atom_site_label
_atom_site_type_symbol
_atom_site_fract_x
_atom_site_fract_y
_atom_site_fract_z
Li1 Li 0.000 0.000 0.336
Li2 Li 0.000 0.000 0.664
Ge1 Ge 0.000 0.000 0.000
Au1 Au 0.500 0.500 0.000
Au2 Au 0.500 0.500 0.338
Au3 Au 0.500 0.500 0.662
Au4 Au 0.500 0.000 0.177
Au5 Au 0.500 0.000 0.500
Au6 Au 0.500 0.000 0.823
Au7 Au 0.000 0.500 0.177
Au8 Au 0.000 0.500 0.500
Au9 Au 0.000 0.500 0.823

---

# Li3GeAu (PBE-GGA, optimized geometry)
# Calculated volume = 105.34 Å³/cell
# Total energy = -2.56 eV/atom
# Formation enthalpy at 0 K = 0.171 eV/atom
# Mass density = 4.58 g/cm3
# Symmetry = No. 221
# Relative energy among the computed polymorphs = 55.7 kJ per mole of atoms
data_Li3GeAu
_chemical_formula_sum 'Li3 Ge1 Au1'
_space_group_name_H-M_alt 'P 1'
_space_group_IT_number 1
_space_group_name_Hall 'P 1'
_cell_length_a 4.723
_cell_length_b 4.723
_cell_length_c 4.723
_cell_angle_alpha 90.00
_cell_angle_beta 90.00
_cell_angle_gamma 90.00
loop_
_atom_site_label
_atom_site_type_symbol
_atom_site_fract_x
_atom_site_fract_y
_atom_site_fract_z
Ge1 Ge 0.000 0.000 0.000
Au1 Au 0.500 0.500 0.500
Li1 Li 0.000 0.500 0.000
Li2 Li 0.000 0.000 0.500
Li3 Li 0.500 0.000 0.000

---

# Li4GeAu2 (PBE-GGA, optimized geometry)
# Calculated volume = 119.65 Å³/cell
# Total energy = -3.01 eV/atom
# Formation enthalpy at 0 K = -0.323 eV/atom
# Mass density = 6.86 g/cm3
# Symmetry = No. 12
data_Li4GeAu2
_chemical_formula_sum 'Li4 Ge1 Au2'
_space_group_name_H-M_alt 'P 1'
_space_group_IT_number 1
_space_group_name_Hall 'P 1'
_cell_length_a 2.865
_cell_length_b 6.965
_cell_length_c 7.116
_cell_angle_alpha 119.95
_cell_angle_beta 101.61
_cell_angle_gamma 90.00
loop_
_atom_site_label
_atom_site_type_symbol
_atom_site_fract_x
_atom_site_fract_y
_atom_site_fract_z
Li1 Li 0.911 0.256 0.822
Li2 Li 0.089 0.744 0.178
Li3 Li 0.637 0.375 0.274
Li4 Li 0.363 0.625 0.726
Ge1 Ge 0.000 0.000 0.000
Au1 Au 0.767 0.818 0.534
Au2 Au 0.233 0.182 0.466

---

# Li5GeAu (PBE-GGA, optimized geometry)
# Calculated volume = 121.24 Å³/cell
# Total energy = -2.80 eV/atom
# Formation enthalpy at 0 K = -0.309 eV/atom
# Mass density = 4.17 g/cm3
# Symmetry = No. 65
# Relative energy among the computed polymorphs = 2.8 kJ per mole of atoms
data_Li5GeAu
_chemical_formula_sum 'Li5 Ge1 Au1'
_space_group_name_H-M_alt 'P 1'
_space_group_IT_number 1
_space_group_name_Hall 'P 1'
_cell_length_a 4.542
_cell_length_b 4.542
_cell_length_c 5.876
_cell_angle_alpha 90.00
_cell_angle_beta 90.00
_cell_angle_gamma 89.50
loop_
_atom_site_label
_atom_site_type_symbol
_atom_site_fract_x
_atom_site_fract_y
_atom_site_fract_z
Li1 Li 0.500 0.000 0.223
Li2 Li 0.000 0.500 0.223
Li3 Li 0.000 0.000 0.500
Li4 Li 0.000 0.500 0.777
Li5 Li 0.500 0.000 0.777
Ge1 Ge 0.000 0.000 0.000
Au1 Au 0.500 0.500 0.500

---

# LiGe2Au6 (PBE-GGA, optimized geometry)
# Calculated volume = 346.58 Å³/cell
# Total energy = -3.52 eV/atom
# Formation enthalpy at 0 K = -0.093 eV/atom
# Mass density = 12.78 g/cm3
# Symmetry = No. 14
# Relative energy among the computed polymorphs = 0.7 kJ per mole of atoms
data_LiGe2Au6
_chemical_formula_sum 'Li2 Ge4 Au12'
_space_group_name_H-M_alt 'P 1'
_space_group_IT_number 1
_space_group_name_Hall 'P 1'
_cell_length_a 6.896
_cell_length_b 5.708
_cell_length_c 8.806
_cell_angle_alpha 90.00
_cell_angle_beta 90.81
_cell_angle_gamma 90.00
loop_
_atom_site_label
_atom_site_type_symbol
_atom_site_fract_x
_atom_site_fract_y
_atom_site_fract_z
Li1 Li 0.500 0.500 0.000
Li2 Li 0.000 0.000 0.500
Ge1 Ge 0.920 0.370 0.721
Ge2 Ge 0.580 0.870 0.779
Ge3 Ge 0.420 0.130 0.221
Ge4 Ge 0.080 0.630 0.279
Au1 Au 0.750 0.868 0.237
Au2 Au 0.714 0.647 0.534
Au3 Au 0.845 0.652 0.942
Au4 Au 0.655 0.152 0.558
Au5 Au 0.786 0.147 0.966
Au6 Au 0.750 0.368 0.263
Au7 Au 0.250 0.132 0.763
Au8 Au 0.286 0.353 0.466
Au9 Au 0.155 0.348 0.058
Au10 Au 0.345 0.848 0.442
Au11 Au 0.214 0.853 0.034
Au12 Au 0.250 0.632 0.737